Compound: TaCuReSe2
Source: Alexandria via LeMat-Bulk
Functional: GGA-PBEsol
Structure: relaxed

Properties
* space-group type: P4/mmm, No. 123
* uncorrected formation energy: 1.489 eV per atom

Unit cell a=4.8004 b=4.8811 c=4.8811 alpha=90.00 beta=90.00 gamma=90.00
Site moments in Bohr magnetons follow the coordinates.
Sites, in units of the cell vectors:
Ta 0.0000 0.0000 0.0000  0.11
Re 0.5000 0.5000 0.5000  3.82
Se 0.0000 0.5000 0.0000  0.04
Se 0.0000 0.0000 0.5000  0.04
Cu 0.5000 0.0000 0.0000  0.05

---

Compound: CoW2Se
Source: Alexandria via LeMat-Bulk
Functional: GGA-PBEsol
Structure: relaxed

Properties
* space-group type: P4/mmm, No. 123
* uncorrected formation energy: 0.271 eV per atom

Unit cell a=2.9180 b=2.9180 c=6.5642 alpha=90.00 beta=90.00 gamma=90.00
Site moments in Bohr magnetons follow the coordinates.
Sites, in units of the cell vectors:
W 0.0000 0.0000 0.7559  0.00
W 0.0000 0.0000 0.2441  0.00
Se 0.5000 0.5000 0.5000  0.00
Co 0.5000 0.5000 0.0000  0.94

---

| no. | total moment (μB per atom) | density (g/cm³) | VASP energy (eV/atom) |
| --- | --- | --- | --- |
| 1 | 0.993 | 8.546 | -6.09 |
| 2 | 0.233 | 15.020 | -9.53 |